# TaZnIr | OQMD | GGA-PBE | optimized geometry
data_TaZnIr
_chemical_formula_sum 'Ta4 Zn4 Ir4'
_cell_length_a 6.041
_cell_length_b 6.041
_cell_length_c 6.041
_cell_angle_alpha 90.00
_cell_angle_beta 90.00
_cell_angle_gamma 90.00
_space_group_name_H-M_alt 'F -4 3 m'
_space_group_IT_number 216
_space_group_name_Hall 'F -4 2 3'
loop_
_atom_site_label
_atom_site_type_symbol
_atom_site_fract_x
_atom_site_fract_y
_atom_site_fract_z
_atom_site_occupancy
Ta1 Ta 0.000 0.000 0.000 1
Zn1 Zn 0.000 0.000 0.500 1
Ir1 Ir 0.250 0.250 0.250 1
# formation enthalpy at 0 K	-2.8	kcal/mol of atoms
# theoretical density	13.21	g/cm3
# DFT total energy	-7.44	eV/atom

# ErCdOs | OQMD | GGA-PBE | optimized geometry
data_ErCdOs
_chemical_formula_sum 'Er4 Cd4 Os4'
_cell_length_a 6.602
_cell_length_b 6.602
_cell_length_c 6.602
_cell_angle_alpha 90.00
_cell_angle_beta 90.00
_cell_angle_gamma 90.00
_space_group_name_H-M_alt 'F -4 3 m'
_space_group_IT_number 216
_space_group_name_Hall 'F -4 2 3'
loop_
_atom_site_label
_atom_site_type_symbol
_atom_site_fract_x
_atom_site_fract_y
_atom_site_fract_z
_atom_site_occupancy
Er1 Er 0.000 0.000 0.000 1
Cd1 Cd 0.250 0.250 0.750 1
Os1 Os 0.250 0.250 0.250 1
# formation enthalpy at 0 K	19.0	kcal/mol of atoms
# energy above the most stable polymorph in this dataset	215	meV/atom
# theoretical density	10.84	g/cm3
# DFT total energy	-4.74	eV/atom

Question: Among the records above, which one has the highest DFT total energy?
Answer: ErCdOs

Question: What is the formation enthalpy at 0 K in the first record?
Answer: -2.8 kcal/mol of atoms

Question: Which of these has the lowest formation enthalpy at 0 K?
Answer: TaZnIr